# 1
First-principles (PBE-GGA) data for a geometry-optimized DyScOs4 structure, as listed in Alexandria via LeMat-Bulk.

For the formation energy, the calculation gives -0.287 eV per atom.

Lattice parameters (Å, degrees): 7.487 7.487 7.487 90.00 90.00 90.00
Space group F-43m (No. 216)
Asymmetric unit:
Dy 0.000 0.000 0.000 (multiplicity 4)
Sc 0.250 0.250 0.750 (multiplicity 4)
Os 0.125 0.125 0.375 (multiplicity 16)

# 2
First-principles (PBE-GGA) data for a geometry-optimized DyScSi2Os structure, as listed in Alexandria via LeMat-Bulk.

The formation energy (no corrections) comes out at -0.725 eV per atom.

Lattice parameters (Å, degrees): 4.014 4.014 11.216 90.00 90.00 90.00
Space group I-4m2 (No. 119)
Asymmetric unit:
Dy 0.000 0.000 0.000 (multiplicity 2)
Sc 0.000 0.500 0.750 (multiplicity 2)
Si 0.000 0.000 0.395 (multiplicity 4)
Os 0.000 0.500 0.250 (multiplicity 2)

# 3
First-principles (PBE-GGA) data for a geometry-optimized DyScTlOs structure, as listed in Alexandria via LeMat-Bulk.

For the formation energy, the calculation gives -0.162 eV per atom. The value obtained for the relative energy among the computed polymorphs is 204.1 meV per atom.

Lattice parameters (Å, degrees): 6.978 6.978 6.978 90.00 90.00 90.00
Space group F-43m (No. 216)
Asymmetric unit:
Dy 0.000 0.000 0.000 (multiplicity 4)
Sc 0.000 0.000 0.500 (multiplicity 4)
Tl 0.250 0.250 0.250 (multiplicity 4)
Os 0.250 0.250 0.750 (multiplicity 4)

# 4
First-principles (PBE-GGA) data for a geometry-optimized DyScTlOs structure, as listed in Alexandria via LeMat-Bulk.

For the formation energy, the calculation gives -0.366 eV per atom. The value obtained for the relative energy among the computed polymorphs is 0.0 meV per atom.

Lattice parameters (Å, degrees): 3.316 3.316 8.043 90.00 90.00 90.00
Space group P4mm (No. 99)
Asymmetric unit:
Dy 0.000 0.000 0.000 (multiplicity 1)
Sc 0.000 0.000 0.599 (multiplicity 1)
Tl 0.500 0.500 0.318 (multiplicity 1)
Os 0.500 0.500 0.781 (multiplicity 1)

# 5
First-principles (PBE-GGA) data for a geometry-optimized DySi2Os2 structure, as listed in Alexandria via LeMat-Bulk.

The formation energy (no corrections) comes out at -0.727 eV per atom. The value obtained for the relative energy among the computed polymorphs is 0.0 meV per atom.

Lattice parameters (Å, degrees): 4.167 4.167 9.671 90.00 90.00 90.00
Space group I4/mmm (No. 139)
Asymmetric unit:
Dy 0.000 0.000 0.000 (multiplicity 2)
Si 0.000 0.000 0.372 (multiplicity 4)
Os 0.000 0.500 0.250 (multiplicity 4)

# 6
First-principles (PBE-GGA) data for a geometry-optimized Dy3Si3Os structure, as listed in Alexandria via LeMat-Bulk.

The formation energy (no corrections) comes out at -0.805 eV per atom.

Lattice parameters (Å, degrees): 10.621 4.225 13.560 90.00 111.06 90.00
Space group C2/m (No. 12)
Asymmetric unit:
Dy 0.018 0.000 0.374 (multiplicity 4)
Dy 0.102 0.000 0.920 (multiplicity 4)
Dy 0.245 0.000 0.229 (multiplicity 4)
Si 0.052 0.500 0.238 (multiplicity 4)
Si 0.112 0.500 0.074 (multiplicity 4)
Si 0.136 0.500 0.542 (multiplicity 4)
Os 0.247 0.500 0.413 (multiplicity 4)

# 7
First-principles (PBE-GGA) data for a geometry-optimized Dy3Si2Os structure, as listed in Alexandria via LeMat-Bulk.

The formation energy (no corrections) comes out at -0.630 eV per atom.

Lattice parameters (Å, degrees): 11.540 4.161 11.253 90.00 90.00 90.00
Space group Pnma (No. 62)
Asymmetric unit:
Dy 0.058 0.250 0.121 (multiplicity 4)
Dy 0.122 0.750 0.557 (multiplicity 4)
Dy 0.214 0.250 0.799 (multiplicity 4)
Si 0.022 0.750 0.313 (multiplicity 4)
Si 0.195 0.750 0.992 (multiplicity 4)
Os 0.127 0.250 0.364 (multiplicity 4)

# 8
First-principles (PBE-GGA) data for a geometry-optimized Dy3Si3Os2 structure, as listed in Alexandria via LeMat-Bulk.

The formation energy (no corrections) comes out at -0.746 eV per atom.

Lattice parameters (Å, degrees): 7.959 13.968 5.733 90.00 90.00 90.00
Space group Pnma (No. 62)
Asymmetric unit:
Dy 0.054 0.113 0.120 (multiplicity 8)
Dy 0.197 0.250 0.630 (multiplicity 4)
Si 0.147 0.750 0.592 (multiplicity 4)
Si 0.188 0.040 0.641 (multiplicity 8)
Os 0.096 0.589 0.392 (multiplicity 8)